[1]
First-principles (PBEsol) data for an optimized crystal structure of FeIrPt2, as listed in Alexandria.

Values from the calculation:
E above lowest polymorph (eV/f.u.): 0.132
E_tot (eV/atom): -8.223
Theoretical density (kg/m³): 19029
Energy relative to the elements (eV/f.u.): -0.179
Crystal system: trigonal

The structure in extended XYZ format:
```
4
Lattice="-0.276 -0.910 2.535 1.786 -1.769 1.005 5.439 5.750 4.100" Properties=species:S:1:pos:R:3 pbc="T T T"
Fe 3.454 1.508 3.808
Ir 1.822 0.882 1.960
Pt 1.531 -2.651 3.552
Pt 5.127 2.190 5.680
```

---

[2]
First-principles (PBEsol) data for an optimized crystal structure of FeIrPt2, as listed in Alexandria.

Values from the calculation:
E above lowest polymorph (eV/f.u.): 0.006
E_tot (eV/atom): -8.255
Theoretical density (kg/m³): 18868
Energy relative to the elements (eV/f.u.): -0.305
Crystal system: tetragonal

The structure in extended XYZ format:
```
4
Lattice="3.799 0.000 0.000 0.000 3.799 0.000 0.000 0.000 3.893" Properties=species:S:1:pos:R:3 pbc="T T T"
Ir 0.000 0.000 1.946
Fe 1.899 1.899 1.946
Pt 0.000 1.899 0.000
Pt 1.899 0.000 0.000
```

---

[3]
First-principles (PBEsol) data for an optimized crystal structure of FeIrPt2, as listed in Alexandria.

Values from the calculation:
E above lowest polymorph (eV/f.u.): 1.036
E_tot (eV/atom): -7.997
Theoretical density (kg/m³): 18577
Energy relative to the elements (eV/f.u.): 0.725
Crystal system: cubic

The structure in extended XYZ format:
```
4
Lattice="-1.443 -4.007 0.730 2.796 -3.180 0.864 0.202 -1.678 3.977" Properties=species:S:1:pos:R:3 pbc="T T T"
Fe 0.777 -4.433 2.785
Ir 1.165 -6.649 4.178
Pt 0.000 0.000 0.000
Pt 0.388 -2.216 1.393
```

---

[4]
First-principles (PBEsol) data for an optimized crystal structure of Fe2IrPt, as listed in Alexandria.

Values from the calculation:
E_tot (eV/atom): -8.703
Theoretical density (kg/m³): 16038
Energy relative to the elements (eV/f.u.): -0.098
Crystal system: monoclinic

The structure in extended XYZ format:
```
4
Lattice="-1.872 -1.087 1.557 -0.972 -2.990 -3.256 4.036 -1.561 1.478" Properties=species:S:1:pos:R:3 pbc="T T T"
Fe -0.936 -3.002 -3.221
Fe 0.343 -2.358 1.049
Ir 2.605 -3.515 0.677
Pt 0.822 -3.353 -1.353
```

---

[5]
First-principles (PBEsol) data for an optimized crystal structure of RbFe3Ir, as listed in Alexandria.

Values from the calculation:
E_tot (eV/atom): -4.712
Theoretical density (kg/m³): 8812
Energy relative to the elements (eV/f.u.): 14.178
Crystal system: cubic

The structure in extended XYZ format:
```
5
Lattice="4.378 0.000 0.000 0.000 4.378 0.000 0.000 0.000 4.378" Properties=species:S:1:pos:R:3 pbc="T T T"
Ir 2.189 2.189 2.189
Fe 0.000 2.189 0.000
Fe 0.000 0.000 2.189
Fe 2.189 0.000 0.000
Rb 0.000 0.000 0.000
```

---

[6]
First-principles (PBEsol) data for an optimized crystal structure of Fe4ReIr, as listed in Alexandria.

Values from the calculation:
E_tot (eV/atom): -9.874
Theoretical density (kg/m³): 14442
Energy relative to the elements (eV/f.u.): -0.236
Crystal system: cubic

The structure in extended XYZ format:
```
6
Lattice="4.608 0.000 0.000 2.304 3.991 0.000 2.304 1.330 3.763" Properties=species:S:1:pos:R:3 pbc="T T T"
Fe 3.460 1.998 1.412
Fe 4.608 2.661 3.288
Fe 5.757 1.998 1.412
Fe 4.608 3.987 1.412
Ir 6.912 3.991 2.822
Re 0.000 0.000 0.000
```

---

no.,total moment (μB per formula unit)
1,2.6
2,4.1
3,3.7
4,5.1
5,8.4
6,6.0